An optimized crystal structure of Pr6TlTe5, computed with PBE.

Output
formation energy from raw total energies	-1289	meV/atom

Unit cell a=7.869 b=7.888 c=7.862 alpha=59.89 beta=80.46 gamma=70.70
Sites, in units of the cell vectors:
Pr: 0.754 0.410 0.671
Pr: 0.247 0.245 0.000
Pr: 0.246 0.590 0.329
Pr: 0.246 0.919 0.671
Pr: 0.754 0.081 0.329
Pr: 0.753 0.755 0.000
Te: 0.500 0.831 0.337
Te: 0.500 0.169 0.663
Te: 0.500 0.500 0.000
Te: 0.000 0.334 0.332
Te: 0.000 0.666 0.668
Tl: 0.000 0.000 0.000

An optimized crystal structure of LaY4Tm7, computed with PBE.

Output
ΔH_f (0 K)	0.2759	eV/atom
energy above the lowest structure with this stoichiometry	199	meV per atom

Unit cell a=5.846 b=11.485 c=6.698 alpha=83.04 beta=64.13 gamma=75.26
Sites, in units of the cell vectors:
Tm: 0.364 0.506 0.766
Tm: 0.211 0.078 0.501
Tm: 0.944 0.338 0.775
Tm: 0.056 0.662 0.225
Tm: 0.500 0.000 0.000
Tm: 0.636 0.494 0.234
Tm: 0.789 0.922 0.499
Y: 0.628 0.225 0.519
Y: 0.372 0.775 0.481
Y: 0.745 0.686 0.825
Y: 0.255 0.314 0.175
La: 0.000 0.000 0.000

An optimized crystal structure of AsRuRh2, computed with PBE.

Output
ΔH_f (0 K)	0.0419	eV/atom

Unit cell a=8.575 b=8.575 c=8.575 alpha=18.95 beta=18.95 gamma=18.95
Sites, in units of the cell vectors:
Rh: 0.497 0.497 0.497
Rh: 0.003 0.003 0.003
Ru: 0.250 0.250 0.250
As: 0.750 0.750 0.750

For each record above, in turn, the calculated V values are 398.5 391.3 58.1 Å³/cell.